Compound: Sm2DyGe2
Source: Alexandria via LeMat-Bulk
Functional: PBE
Structure: optimized geometry

Unit cell a=7.6737 b=7.6737 c=4.3447 alpha=90.00 beta=90.00 gamma=90.00
Space group P4/mbm (No. 127)
Symmetry-distinct sites (fractional):
Sm: 0.1740 0.3260 0.0000 (multiplicity 4)
Dy: 0.0000 0.0000 0.5000 (multiplicity 2)
Ge: 0.1231 0.6231 0.5000 (multiplicity 4)

As for the mass density: 7899 kg/m³. The crystal system is tetragonal. Its total DFT energy (no corrections) is -5.439 eV per atom. The calculation puts the energy relative to the elements at -784 meV/atom. The energy above the most stable polymorph in this dataset is 0 meV/atom.

---

Compound: SmDyGeTe
Source: Alexandria via LeMat-Bulk
Functional: PBE
Structure: optimized geometry

Unit cell a=4.2682 b=4.2682 c=22.0082 alpha=90.00 beta=90.00 gamma=120.00
Space group R3m (No. 160, hexagonal axes)
Symmetry-distinct sites (fractional):
Sm: 0.0000 0.0000 0.0000 (multiplicity 3)
Dy: 0.0000 0.0000 0.1893 (multiplicity 3)
Ge: 0.0000 0.0000 0.5947 (multiplicity 3)
Te: 0.0000 0.0000 0.4290 (multiplicity 3)

As for the mass density: 7361 kg/m³. The crystal system is trigonal. As for the uncorrected formation energy: -1.12 eV per atom. Its total DFT energy (no corrections) is -5.395 eV per atom.

---

Compound: SmDyZnGe
Source: Alexandria via LeMat-Bulk
Functional: PBE
Structure: optimized geometry

Unit cell a=4.1306 b=4.2377 c=11.0545 alpha=90.00 beta=90.00 gamma=90.00
Space group Amm2 (No. 38)
Symmetry-distinct sites (fractional):
Sm: 0.0000 0.0000 0.0000 (multiplicity 2)
Dy: 0.5000 0.0000 0.2823 (multiplicity 2)
Zn: 0.5000 0.0000 0.5715 (multiplicity 2)
Ge: 0.0000 0.0000 0.7199 (multiplicity 2)

As for the mass density: 7739 kg/m³. The crystal system is orthorhombic. Its total DFT energy (no corrections) is -4.408 eV per atom. The calculation puts the energy relative to the elements at -605 meV/atom. The energy above the most stable polymorph in this dataset is 0 meV/atom.

---

Compound: SmDyZnGe
Source: Alexandria via LeMat-Bulk
Functional: PBE
Structure: optimized geometry

Unit cell a=7.1754 b=7.1754 c=7.1754 alpha=90.00 beta=90.00 gamma=90.00
Space group F-43m (No. 216)
Symmetry-distinct sites (fractional):
Sm: 0.0000 0.0000 0.0000 (multiplicity 4)
Dy: 0.0000 0.0000 0.5000 (multiplicity 4)
Zn: 0.2500 0.2500 0.7500 (multiplicity 4)
Ge: 0.2500 0.2500 0.2500 (multiplicity 4)

As for the mass density: 8107 kg/m³. The crystal system is cubic. Its total DFT energy (no corrections) is -4.329 eV per atom. The calculation puts the energy relative to the elements at -526 meV/atom. The energy above the most stable polymorph in this dataset is 80 meV/atom.

---

Compound: Dy3SnGe2
Source: Alexandria via LeMat-Bulk
Functional: PBE
Structure: optimized geometry

Unit cell a=4.3783 b=15.8440 c=4.1962 alpha=90.00 beta=90.00 gamma=90.00
Space group Cmmm (No. 65)
Symmetry-distinct sites (fractional):
Dy: 0.0000 0.0000 0.0000 (multiplicity 2)
Dy: 0.0000 0.1710 0.5000 (multiplicity 4)
Sn: 0.0000 0.5000 0.5000 (multiplicity 2)
Ge: 0.0000 0.3448 0.0000 (multiplicity 4)

As for the mass density: 8574 kg/m³. The crystal system is orthorhombic. Its total DFT energy (no corrections) is -5.133 eV per atom. The calculation puts the energy relative to the elements at -626 meV/atom. The energy above the most stable polymorph in this dataset is 89 meV/atom.

---

Compound: DySnGe4
Source: Alexandria via LeMat-Bulk
Functional: PBE
Structure: optimized geometry

Unit cell a=7.9760 b=7.9760 c=7.9760 alpha=90.00 beta=90.00 gamma=90.00
Space group F-43m (No. 216)
Symmetry-distinct sites (fractional):
Dy: 0.0000 0.0000 0.0000 (multiplicity 4)
Sn: 0.2500 0.2500 0.2500 (multiplicity 4)
Ge: 0.1250 0.1250 0.6250 (multiplicity 16)

As for the mass density: 7485 kg/m³. The crystal system is cubic. Its total DFT energy (no corrections) is -4.642 eV per atom. The calculation puts the energy relative to the elements at -130 meV/atom.

---

Compound: Dy2SnGe
Source: Alexandria via LeMat-Bulk
Functional: PBE
Structure: optimized geometry

Unit cell a=3.9764 b=3.9764 c=24.0504 alpha=90.00 beta=90.00 gamma=120.00
Space group R-3m (No. 166, hexagonal axes)
Symmetry-distinct sites (fractional):
Dy: 0.0000 0.0000 0.2393 (multiplicity 6)
Sn: 0.0000 0.0000 0.0000 (multiplicity 3)
Ge: 0.0000 0.0000 0.5000 (multiplicity 3)

As for the mass density: 7810 kg/m³. The crystal system is trigonal. Its total DFT energy (no corrections) is -5.073 eV per atom. The calculation puts the energy relative to the elements at -617 meV/atom.

---

Compound: DySnGe2
Source: Alexandria via LeMat-Bulk
Functional: PBE
Structure: optimized geometry

Unit cell a=4.6219 b=4.6219 c=4.1381 alpha=90.00 beta=90.00 gamma=90.00
Space group P4/mmm (No. 123)
Symmetry-distinct sites (fractional):
Dy: 0.0000 0.0000 0.0000 (multiplicity 1)
Sn: 0.5000 0.5000 0.0000 (multiplicity 1)
Ge: 0.0000 0.5000 0.5000 (multiplicity 2)

As for the mass density: 8011 kg/m³. The crystal system is tetragonal. Its total DFT energy (no corrections) is -4.857 eV per atom. The calculation puts the energy relative to the elements at -397 meV/atom. The energy above the most stable polymorph in this dataset is 0 meV/atom.